No. 1
Computed, not measured: a geometry-optimized InTePd14 structure at the PBE-GGA level of DFT.

Cell: 5.781 5.781 7.672 Å, 90.00 90.00 90.00°
Sites, in units of the cell vectors:
In: 0.000 0.000 0.000
Te: 0.500 0.500 0.000
Pd: 0.000 0.000 0.500
Pd: 0.000 0.500 0.000
Pd: 0.000 0.500 0.500
Pd: 0.251 0.251 0.252
Pd: 0.251 0.251 0.748
Pd: 0.251 0.749 0.252
Pd: 0.251 0.749 0.748
Pd: 0.500 0.000 0.000
Pd: 0.500 0.000 0.500
Pd: 0.500 0.500 0.500
Pd: 0.749 0.251 0.252
Pd: 0.749 0.251 0.748
Pd: 0.749 0.749 0.252
Pd: 0.749 0.749 0.748

Values from the calculation:
Its calculated total energy is -5.08 eV per atom. For the density of states at the Fermi level, the calculation gives 24.0 states/eV per cell. The formation energy from raw total energies is -0.17 eV/atom. The space group is P4/mmm.

No. 2
Computed, not measured: a geometry-optimized InTe2Pd structure at the PBE-GGA level of DFT.

Cell: 4.201 4.201 25.588 Å, 90.00 90.00 120.00°
Sites, in units of the cell vectors:
In: 0.000 0.000 0.000
In: 0.333 0.667 0.667
In: 0.667 0.333 0.333
Te: 0.000 0.000 0.401
Te: 0.000 0.000 0.599
Te: 0.333 0.667 0.067
Te: 0.333 0.667 0.266
Te: 0.667 0.333 0.734
Te: 0.667 0.333 0.933
Pd: 0.000 0.000 0.500
Pd: 0.333 0.667 0.167
Pd: 0.667 0.333 0.833

Values from the calculation:
Its calculated total energy is -3.49 eV per atom. For the density of states at the Fermi level, the calculation gives 8.4 states/eV per cell. The formation energy from raw total energies is 0.06 eV/atom. The space group is R-3m.

No. 3
Computed, not measured: a geometry-optimized Tl3InTe2Pd9 structure at the PBE-GGA level of DFT.

Cell: 7.082 7.082 8.628 Å, 90.00 90.00 120.00°
Sites, in units of the cell vectors:
Tl: 0.000 0.000 0.000
Tl: 0.333 0.667 0.740
Tl: 0.667 0.333 0.260
In: 0.000 0.000 0.500
Te: 0.333 0.667 0.211
Te: 0.667 0.333 0.789
Pd: 0.000 0.500 0.000
Pd: 0.130 0.261 0.249
Pd: 0.130 0.870 0.249
Pd: 0.261 0.130 0.751
Pd: 0.500 0.000 0.000
Pd: 0.500 0.500 0.000
Pd: 0.739 0.870 0.249
Pd: 0.870 0.130 0.751
Pd: 0.870 0.739 0.751

Values from the calculation:
Its calculated total energy is -4.26 eV per atom. For the density of states at the Fermi level, the calculation gives 10.1 states/eV per cell. The formation energy from raw total energies is -0.07 eV/atom. The space group is P-3m1.

No. 4
Computed, not measured: a geometry-optimized U2In3Te6Pd structure at the PBE-GGA level of DFT.

Cell: 7.295 7.295 8.620 Å, 98.27 98.27 120.50°
Sites, in units of the cell vectors:
U: 0.162 0.838 0.000
U: 0.838 0.162 0.000
In: 0.000 0.000 0.500
In: 0.320 0.680 0.500
In: 0.680 0.320 0.500
Te: 0.111 0.432 0.787
Te: 0.249 0.249 0.230
Te: 0.432 0.111 0.787
Te: 0.568 0.889 0.213
Te: 0.751 0.751 0.770
Te: 0.889 0.568 0.213
Pd: 0.500 0.500 0.000

Values from the calculation:
Its calculated total energy is -4.93 eV per atom. For the density of states at the Fermi level, the calculation gives 16.2 states/eV per cell. The formation energy from raw total energies is -0.36 eV/atom. The space group is C2/m.

No. 5
Computed, not measured: a geometry-optimized In2TePdW structure at the PBE-GGA level of DFT.

Cell: 5.661 5.661 4.938 Å, 90.00 90.00 90.00°
Sites, in units of the cell vectors:
In: 0.000 0.500 0.000
In: 0.500 0.000 0.000
Te: 0.000 0.000 0.000
Pd: 0.000 0.000 0.500
W: 0.500 0.500 0.500

Values from the calculation:
Its calculated total energy is -3.83 eV per atom. For the density of states at the Fermi level, the calculation gives 2.8 states/eV per cell. The formation energy from raw total energies is 1.52 eV/atom. The space group is P4/mmm.

No. 6
Computed, not measured: a geometry-optimized ZrInTe3Pd structure at the PBE-GGA level of DFT.

Cell: 8.875 3.985 10.295 Å, 90.00 110.10 90.00°
Sites, in units of the cell vectors:
Zr: 0.210 0.250 0.181
Zr: 0.790 0.750 0.819
In: 0.255 0.750 0.733
In: 0.745 0.250 0.267
Te: 0.055 0.250 0.870
Te: 0.253 0.250 0.470
Te: 0.422 0.750 0.132
Te: 0.578 0.250 0.868
Te: 0.747 0.750 0.530
Te: 0.945 0.750 0.130
Pd: 0.412 0.750 0.392
Pd: 0.588 0.250 0.608

Values from the calculation:
Its calculated total energy is -4.91 eV per atom. For the density of states at the Fermi level, the calculation gives 4.8 states/eV per cell. The formation energy from raw total energies is -0.59 eV/atom. The space group is P2_1/m.

No. 7
Computed, not measured: a geometry-optimized ThIn3Pd7 structure at the PBE-GGA level of DFT.

Cell: 6.489 6.489 5.617 Å, 104.67 104.67 97.56°
Sites, in units of the cell vectors:
Th: 0.000 0.000 0.000
In: 0.273 0.727 0.500
In: 0.500 0.500 0.000
In: 0.727 0.273 0.500
Pd: 0.000 0.000 0.500
Pd: 0.089 0.559 0.819
Pd: 0.306 0.306 0.453
Pd: 0.441 0.911 0.181
Pd: 0.559 0.089 0.819
Pd: 0.694 0.694 0.547
Pd: 0.911 0.441 0.181

Values from the calculation:
The energy of formation comes out at -0.475 eV per atom. Its calculated total energy is -5.20 eV per atom. For the density of states at the Fermi level, the calculation gives 4.8 states/eV per cell. The space group is C2/m.

No. 8
Computed, not measured: a geometry-optimized ThIn4Pd2 structure at the PBE-GGA level of DFT.

Cell: 18.588 4.657 7.207 Å, 90.00 90.00 90.00°
Sites, in units of the cell vectors:
Th: 0.139 0.250 0.021
Th: 0.361 0.750 0.521
Th: 0.639 0.250 0.479
Th: 0.861 0.750 0.979
In: 0.035 0.750 0.840
In: 0.071 0.250 0.499
In: 0.185 0.750 0.324
In: 0.193 0.750 0.732
In: 0.307 0.250 0.232
In: 0.315 0.250 0.824
In: 0.429 0.750 0.999
In: 0.465 0.250 0.340
In: 0.535 0.750 0.660
In: 0.571 0.250 0.001
In: 0.685 0.750 0.176
In: 0.693 0.750 0.768
In: 0.807 0.250 0.268
In: 0.815 0.250 0.676
In: 0.929 0.750 0.501
In: 0.965 0.250 0.160
Pd: 0.039 0.750 0.236
Pd: 0.218 0.250 0.533
Pd: 0.282 0.750 0.033
Pd: 0.461 0.250 0.736
Pd: 0.539 0.750 0.264
Pd: 0.718 0.250 0.967
Pd: 0.782 0.750 0.467
Pd: 0.961 0.250 0.764

Values from the calculation:
The energy of formation comes out at -0.500 eV per atom. Its calculated total energy is -4.61 eV per atom. For the density of states at the Fermi level, the calculation gives 11.8 states/eV per cell. The space group is Pnma.

No. 9
Computed, not measured: a geometry-optimized ThInPd6 structure at the PBE-GGA level of DFT.

Cell: 4.772 5.850 10.133 Å, 90.00 90.00 90.00°
Sites, in units of the cell vectors:
Th: 0.000 0.000 0.000
Th: 0.000 0.500 0.500
In: 0.500 0.000 0.668
In: 0.500 0.500 0.168
Pd: 0.000 0.000 0.501
Pd: 0.000 0.249 0.251
Pd: 0.000 0.251 0.751
Pd: 0.000 0.500 0.001
Pd: 0.000 0.749 0.751
Pd: 0.000 0.751 0.251
Pd: 0.500 0.000 0.171
Pd: 0.500 0.242 0.414
Pd: 0.500 0.258 0.914
Pd: 0.500 0.500 0.671
Pd: 0.500 0.742 0.914
Pd: 0.500 0.758 0.414

Values from the calculation:
The energy of formation comes out at -0.677 eV per atom. For the energy above the most stable polymorph in this dataset, the calculation gives 52 meV/atom. Its calculated total energy is -5.84 eV per atom. For the density of states at the Fermi level, the calculation gives 9.0 states/eV per cell. The space group is Amm2.

No. 10
Computed, not measured: a geometry-optimized ThIn3Pd2 structure at the PBE-GGA level of DFT.

Cell: 8.732 8.732 8.732 Å, 151.72 118.55 68.98°
Sites, in units of the cell vectors:
Th: 0.127 0.127 0.000
Th: 0.873 0.873 0.000
In: 0.129 0.329 0.801
In: 0.345 0.000 0.345
In: 0.472 0.671 0.801
In: 0.528 0.329 0.199
In: 0.655 0.000 0.655
In: 0.871 0.671 0.199
Pd: 0.152 0.500 0.652
Pd: 0.287 0.787 0.500
Pd: 0.713 0.213 0.500
Pd: 0.848 0.500 0.348

Values from the calculation:
The energy of formation comes out at -0.546 eV per atom. Its calculated total energy is -4.88 eV per atom. For the density of states at the Fermi level, the calculation gives 5.5 states/eV per cell. The space group is Immm.

No. 11
Computed, not measured: a geometry-optimized Th2InPd8 structure at the PBE-GGA level of DFT.

Cell: 8.223 8.223 8.223 Å, 145.38 137.19 56.18°
Sites, in units of the cell vectors:
Th: 0.181 0.181 0.000
Th: 0.819 0.819 0.000
In: 0.500 0.500 0.000
Pd: 0.097 0.356 0.741
Pd: 0.253 0.000 0.253
Pd: 0.320 0.820 0.500
Pd: 0.384 0.644 0.741
Pd: 0.616 0.356 0.259
Pd: 0.680 0.180 0.500
Pd: 0.747 0.000 0.747
Pd: 0.903 0.644 0.259

Values from the calculation:
The energy of formation comes out at -0.659 eV per atom. Its calculated total energy is -6.03 eV per atom. For the density of states at the Fermi level, the calculation gives 5.0 states/eV per cell. The space group is Immm.

No. 12
Computed, not measured: a geometry-optimized ThInPd6 structure at the PBE-GGA level of DFT.

Cell: 4.162 4.162 8.146 Å, 90.00 90.00 90.00°
Sites, in units of the cell vectors:
Th: 0.000 0.000 0.000
In: 0.000 0.000 0.500
Pd: 0.000 0.500 0.257
Pd: 0.000 0.500 0.743
Pd: 0.500 0.000 0.257
Pd: 0.500 0.000 0.743
Pd: 0.500 0.500 0.000
Pd: 0.500 0.500 0.500

Values from the calculation:
The energy of formation comes out at -0.728 eV per atom. For the energy above the most stable polymorph in this dataset, the calculation gives 0 meV/atom. Its calculated total energy is -5.89 eV per atom. For the density of states at the Fermi level, the calculation gives 1.8 states/eV per cell. The space group is P4/mmm.

No. 13
Computed, not measured: a geometry-optimized ThIn2Pd8 structure at the PBE-GGA level of DFT.

Cell: 7.711 7.711 7.711 Å, 148.53 121.68 67.78°
Sites, in units of the cell vectors:
Th: 0.000 0.000 0.000
In: 0.324 0.324 0.000
In: 0.676 0.676 0.000
Pd: 0.098 0.833 0.265
Pd: 0.157 0.657 0.500
Pd: 0.285 0.500 0.785
Pd: 0.432 0.167 0.265
Pd: 0.568 0.833 0.735
Pd: 0.715 0.500 0.215
Pd: 0.843 0.343 0.500
Pd: 0.902 0.167 0.735

Values from the calculation:
The energy of formation comes out at -0.585 eV per atom. For the energy above the most stable polymorph in this dataset, the calculation gives 10 meV/atom. Its calculated total energy is -5.53 eV per atom. For the density of states at the Fermi level, the calculation gives 4.7 states/eV per cell. The space group is Immm.

No. 14
Computed, not measured: a geometry-optimized Th4InPd15 structure at the PBE-GGA level of DFT.

Cell: 4.200 4.200 20.796 Å, 90.00 90.00 90.00°
Sites, in units of the cell vectors:
Th: 0.000 0.000 0.103
Th: 0.000 0.000 0.309
Th: 0.000 0.000 0.691
Th: 0.000 0.000 0.897
In: 0.000 0.000 0.500
Pd: 0.000 0.500 0.000
Pd: 0.000 0.500 0.203
Pd: 0.000 0.500 0.405
Pd: 0.000 0.500 0.595
Pd: 0.000 0.500 0.797
Pd: 0.500 0.000 0.000
Pd: 0.500 0.000 0.203
Pd: 0.500 0.000 0.405
Pd: 0.500 0.000 0.595
Pd: 0.500 0.000 0.797
Pd: 0.500 0.500 0.101
Pd: 0.500 0.500 0.303
Pd: 0.500 0.500 0.500
Pd: 0.500 0.500 0.697
Pd: 0.500 0.500 0.899

Values from the calculation:
The energy of formation comes out at -0.855 eV per atom. Its calculated total energy is -6.37 eV per atom. For the density of states at the Fermi level, the calculation gives 4.4 states/eV per cell. The space group is P4/mmm.

No. 15
Computed, not measured: a geometry-optimized Th2In5Pd3 structure at the PBE-GGA level of DFT.

Cell: 13.567 13.567 7.419 Å, 90.00 90.00 160.52°
Sites, in units of the cell vectors:
Th: 0.024 0.976 0.500
Th: 0.326 0.674 0.431
Th: 0.674 0.326 0.931
Th: 0.976 0.024 0.000
In: 0.098 0.902 0.128
In: 0.207 0.793 0.626
In: 0.209 0.791 0.224
In: 0.375 0.625 0.975
In: 0.448 0.552 0.336
In: 0.552 0.448 0.836
In: 0.625 0.375 0.475
In: 0.791 0.209 0.724
In: 0.793 0.207 0.126
In: 0.902 0.098 0.628
Pd: 0.108 0.892 0.741
Pd: 0.271 0.729 0.923
Pd: 0.454 0.546 0.722
Pd: 0.546 0.454 0.222
Pd: 0.729 0.271 0.423
Pd: 0.892 0.108 0.241

Values from the calculation:
The energy of formation comes out at -0.575 eV per atom. Its calculated total energy is -4.99 eV per atom. For the density of states at the Fermi level, the calculation gives 8.5 states/eV per cell. The space group is Cmc2_1.

No. 16
Computed, not measured: a geometry-optimized Th4InPd2 structure at the PBE-GGA level of DFT.

Cell: 12.724 12.724 12.724 Å, 19.81 19.81 19.81°
Sites, in units of the cell vectors:
Th: 0.111 0.111 0.111
Th: 0.303 0.303 0.303
Th: 0.697 0.697 0.697
Th: 0.889 0.889 0.889
In: 0.500 0.500 0.500
Pd: 0.403 0.403 0.403
Pd: 0.597 0.597 0.597

Values from the calculation:
The energy of formation comes out at -0.250 eV per atom. Its calculated total energy is -6.36 eV per atom. For the density of states at the Fermi level, the calculation gives 8.0 states/eV per cell. The space group is R-3m.

No. 17
Computed, not measured: a geometry-optimized ThIn6Pd3 structure at the PBE-GGA level of DFT.

Cell: 8.810 4.519 11.565 Å, 90.00 94.29 90.00°
Sites, in units of the cell vectors:
Th: 0.000 0.250 0.224
Th: 0.000 0.750 0.776
In: 0.064 0.750 0.430
In: 0.164 0.250 0.962
In: 0.267 0.250 0.702
In: 0.361 0.250 0.236
In: 0.404 0.750 0.555
In: 0.466 0.750 0.086
In: 0.534 0.250 0.914
In: 0.596 0.250 0.445
In: 0.639 0.750 0.764
In: 0.733 0.750 0.298
In: 0.836 0.750 0.038
In: 0.936 0.250 0.570
Pd: 0.157 0.750 0.106
Pd: 0.255 0.250 0.458
Pd: 0.334 0.750 0.853
Pd: 0.666 0.250 0.147
Pd: 0.745 0.750 0.542
Pd: 0.843 0.250 0.894

Values from the calculation:
The energy of formation comes out at -0.367 eV per atom. Its calculated total energy is -4.31 eV per atom. For the density of states at the Fermi level, the calculation gives 8.2 states/eV per cell. The space group is P2_1/m.

No. 18
Computed, not measured: a geometry-optimized Th2In12Pd7 structure at the PBE-GGA level of DFT.

Cell: 11.415 11.415 4.033 Å, 90.00 90.00 120.00°
Sites, in units of the cell vectors:
Th: 0.000 0.000 0.000
Th: 0.333 0.667 0.500
In: 0.056 0.288 0.500
In: 0.105 0.720 0.000
In: 0.232 0.944 0.500
In: 0.280 0.385 0.000
In: 0.390 0.170 0.000
In: 0.526 0.423 0.500
In: 0.577 0.104 0.500
In: 0.615 0.895 0.000
In: 0.712 0.768 0.500
In: 0.780 0.610 0.000
In: 0.830 0.220 0.000
In: 0.896 0.474 0.500
Pd: 0.088 0.475 0.000
Pd: 0.232 0.189 0.500
Pd: 0.387 0.912 0.000
Pd: 0.525 0.613 0.000
Pd: 0.667 0.333 0.000
Pd: 0.811 0.043 0.500
Pd: 0.957 0.768 0.500

Values from the calculation:
The energy of formation comes out at -0.451 eV per atom. Its calculated total energy is -4.45 eV per atom. For the density of states at the Fermi level, the calculation gives 7.7 states/eV per cell. The space group is P-6.

No. 19
Computed, not measured: a geometry-optimized ThIn2Pd8 structure at the PBE-GGA level of DFT.

Cell: 7.649 7.649 6.550 Å, 106.53 106.53 31.90°
Sites, in units of the cell vectors:
Th: 0.000 0.000 0.000
In: 0.281 0.281 0.343
In: 0.719 0.719 0.657
Pd: 0.095 0.095 0.462
Pd: 0.181 0.181 0.918
Pd: 0.357 0.357 0.802
Pd: 0.460 0.460 0.278
Pd: 0.540 0.540 0.722
Pd: 0.643 0.643 0.198
Pd: 0.819 0.819 0.082
Pd: 0.905 0.905 0.538

Values from the calculation:
The energy of formation comes out at -0.595 eV per atom. For the energy above the most stable polymorph in this dataset, the calculation gives 0 meV/atom. Its calculated total energy is -5.54 eV per atom. For the density of states at the Fermi level, the calculation gives 4.3 states/eV per cell. The space group is C2/m.

No. 20
Computed, not measured: a geometry-optimized ThIn2Pd structure at the PBE-GGA level of DFT.

Cell: 3.441 3.441 7.779 Å, 90.00 90.00 90.00°
Sites, in units of the cell vectors:
Th: 0.000 0.000 0.000
In: 0.500 0.500 0.300
In: 0.500 0.500 0.700
Pd: 0.000 0.000 0.500

Values from the calculation:
The energy of formation comes out at -0.420 eV per atom. Its calculated total energy is -4.94 eV per atom. For the density of states at the Fermi level, the calculation gives 2.3 states/eV per cell. The space group is P4/mmm.